P) ## ReSbSeN2 (PBE)

Data for crystalline ReSbSeN2 at its relaxed geometry.

Lattice parameters (Å, degrees): 3.9600 3.9600 5.8310 90.00 90.00 90.00
With the nearest neighbours (Å) after each atom.
Fractional coordinates of all 5 atoms:
Re  0.0000  0.0000  0.0000  4 Se 2.80
Sb  0.5000  0.5000  0.5000  4 N 1.98
Se  0.5000  0.5000  0.0000  4 Re 2.80, 2 Sb 2.92
N  0.0000  0.5000  0.5000  2 Sb 1.98
N  0.5000  0.0000  0.5000  2 Sb 1.98

## Properties
Total magnetization, μB/cell: 4.6
Theoretical density, g/cm³: 7.54

***

Q) ## ReSbSeN2 (PBE)

Data for crystalline ReSbSeN2 at its relaxed geometry.

Lattice parameters (Å, degrees): 3.9500 3.9500 5.3232 90.00 90.00 90.00
With the nearest neighbours (Å) after each atom.
Fractional coordinates of all 5 atoms:
Re  0.0000  0.0000  0.0000  4 N 1.97
Sb  0.5000  0.5000  0.5000  4 Se 2.79
Se  0.0000  0.0000  0.5000  2 Re 2.66, 4 Sb 2.79
N  0.0000  0.5000  0.0000  2 Re 1.97
N  0.5000  0.0000  0.0000  2 Re 1.97

## Properties
Total magnetization, μB/cell: 0.0
Theoretical density, g/cm³: 8.30

***

Relative energies, in kJ/mol of atoms, with the most stable structure set to zero: P) 126.6; Q) 0.0.

***

P) ## ReSbTe2N (PBE)

Data for crystalline ReSbTe2N at its relaxed geometry.

Lattice parameters (Å, degrees): 5.7290 5.7290 3.8654 90.00 90.00 90.00
With the nearest neighbours (Å) after each atom.
Fractional coordinates of all 5 atoms:
Re  0.0000  0.0000  0.0000  8 Te 3.46, 2 Re 3.87
Sb  0.5000  0.5000  0.5000  2 N 1.93
Te  0.0000  0.5000  0.5000  2 Sb 2.86
Te  0.5000  0.0000  0.5000  2 Sb 2.86
N  0.5000  0.5000  0.0000  2 Sb 1.93

## Properties
Total magnetization, μB/cell: 3.5
Theoretical density, g/cm³: 7.55

***

Q) ## ReSbTe2N (PBE)

Data for crystalline ReSbTe2N at its relaxed geometry.

Lattice parameters (Å, degrees): 4.5895 4.5895 4.5793 90.00 90.00 90.00
With the nearest neighbours (Å) after each atom.
Fractional coordinates of all 5 atoms:
Re  0.0000  0.0000  0.0000  8 Te 3.24, 4 Sb 3.25
Sb  0.5000  0.5000  0.0000  2 N 2.29
Te  0.0000  0.5000  0.5000  2 N 2.29
Te  0.5000  0.0000  0.5000  2 N 2.29
N  0.5000  0.5000  0.5000  2 Sb 2.29, 4 Te 2.29

## Properties
Total magnetization, μB/cell: 0.0
Theoretical density, g/cm³: 9.94

***

Relative energies, in kJ/mol of atoms, with the most stable structure set to zero: P) 46.0; Q) 0.0.

***

P) ## ScReSeN2 (PBE)

Data for crystalline ScReSeN2 at its relaxed geometry.

Lattice parameters (Å, degrees): 3.8718 3.8718 5.2515 90.00 90.00 90.00
With the nearest neighbours (Å) after each atom.
Fractional coordinates of all 5 atoms:
Sc  0.0000  0.0000  0.0000  4 Se 2.74
Re  0.5000  0.5000  0.5000  4 N 1.94
Se  0.5000  0.5000  0.0000  2 Re 2.63, 4 Sc 2.74
N  0.0000  0.5000  0.5000  2 Re 1.94
N  0.5000  0.0000  0.5000  2 Re 1.94

## Properties
Total magnetization, μB/cell: 0.0
Theoretical density, g/cm³: 7.13

***

Q) ## ScReSeN2 (PBE)

Data for crystalline ScReSeN2 at its relaxed geometry.

Lattice parameters (Å, degrees): 4.0691 4.0691 5.3075 90.00 90.00 90.00
With the nearest neighbours (Å) after each atom.
Fractional coordinates of all 5 atoms:
Sc  0.0000  0.0000  0.0000  4 N 2.03
Re  0.5000  0.5000  0.5000  4 Se 2.88
Se  0.0000  0.0000  0.5000  2 Sc 2.65, 4 Re 2.88
N  0.0000  0.5000  0.0000  2 Sc 2.03
N  0.5000  0.0000  0.0000  2 Sc 2.03

## Properties
Total magnetization, μB/cell: 2.6
Theoretical density, g/cm³: 6.39

***

Relative energies, in kJ/mol of atoms, with the most stable structure set to zero: P) 0.0; Q) 139.7.

***

P) ## ReSe3N (PBE)

Data for crystalline ReSe3N at its relaxed geometry.

Lattice parameters (Å, degrees): 4.2671 4.2671 4.2671 90.00 90.00 90.00
With the nearest neighbours (Å) after each atom.
Fractional coordinates of all 5 atoms:
Re  0.0000  0.0000  0.0000  12 Se 3.02
Se  0.0000  0.5000  0.5000  2 N 2.13
Se  0.5000  0.0000  0.5000  2 N 2.13
Se  0.5000  0.5000  0.0000  2 N 2.13
N  0.5000  0.5000  0.5000  6 Se 2.13

## Properties
Total magnetization, μB/cell: 0.0
Theoretical density, g/cm³: 9.34

***

Q) ## ReSe3N (PBE)

Data for crystalline ReSe3N at its relaxed geometry.

Lattice parameters (Å, degrees): 4.9087 4.9087 4.9087 90.00 90.00 90.00
With the nearest neighbours (Å) after each atom.
Fractional coordinates of all 5 atoms:
Re  0.0000  0.0000  0.0000  6 Se 2.45
Se  0.0000  0.0000  0.5000  2 Re 2.45
Se  0.0000  0.5000  0.0000  2 Re 2.45
Se  0.5000  0.0000  0.0000  2 Re 2.45
N  0.5000  0.5000  0.5000  12 Se 3.47

## Properties
Total magnetization, μB/cell: 2.6
Theoretical density, g/cm³: 6.14

***

Relative energies, in kJ/mol of atoms, with the most stable structure set to zero: P) 0.0; Q) 3.5.

***

P) ## Re2Se2N (PBE)

Data for crystalline Re2Se2N at its relaxed geometry.

Lattice parameters (Å, degrees): 5.5216 5.5216 5.1485 90.00 90.00 90.00
With the nearest neighbours (Å) after each atom.
Fractional coordinates of all 10 atoms:
Re  0.1806  0.3194  0.0000  2 N 2.03
Re  0.3194  0.8194  0.0000  2 N 2.03
Re  0.6806  0.1806  0.0000  2 N 2.03
Re  0.8194  0.6806  0.0000  2 N 2.03
Se  0.1664  0.3336  0.5000  2 Re 2.58, 1 Se 2.60
Se  0.3336  0.8336  0.5000  2 Re 2.58, 1 Se 2.60
Se  0.6664  0.1664  0.5000  2 Re 2.58, 1 Se 2.60
Se  0.8336  0.6664  0.5000  2 Re 2.58, 1 Se 2.60
N  0.0000  0.0000  0.0000  4 Re 2.03
N  0.5000  0.5000  0.0000  4 Re 2.03

## Properties
Total magnetization, μB/cell: 0.0
Theoretical density, g/cm³: 11.52

***

Q) ## Re2Se2N (PBE)

Data for crystalline Re2Se2N at its relaxed geometry.

Lattice parameters (Å, degrees): 4.9885 4.9885 4.9885 117.94 117.94 93.60
With the nearest neighbours (Å) after each atom.
Fractional coordinates of all 5 atoms:
Re  0.2366  0.2366  0.0000  1 N 1.80
Re  0.7634  0.7634  0.0000  1 N 1.80
Se  0.2500  0.7500  0.5000  4 Re 2.57
Se  0.7500  0.2500  0.5000  4 Re 2.57
N  0.5000  0.5000  0.0000  2 Re 1.80

## Properties
Total magnetization, μB/cell: 0.0
Theoretical density, g/cm³: 10.01

***

Relative energies, in kJ/mol of atoms, with the most stable structure set to zero: P) 0.0; Q) 34.5.

***

P) ## ReSiSe2N (PBE)

Data for crystalline ReSiSe2N at its relaxed geometry.

Lattice parameters (Å, degrees): 5.0695 5.0695 3.7216 90.00 90.00 90.00
With the nearest neighbours (Å) after each atom.
Fractional coordinates of all 5 atoms:
Re  0.0000  0.0000  0.0000  2 N 1.86
Si  0.5000  0.5000  0.5000  8 Se 3.14
Se  0.0000  0.5000  0.0000  2 Re 2.53
Se  0.5000  0.0000  0.0000  2 Re 2.53
N  0.0000  0.0000  0.5000  2 Re 1.86

## Properties
Total magnetization, μB/cell: 0.0
Theoretical density, g/cm³: 6.71

***

Q) ## ReSiSe2N (PBE)

Data for crystalline ReSiSe2N at its relaxed geometry.

Lattice parameters (Å, degrees): 5.0104 5.0104 3.2182 90.00 90.00 90.00
With the nearest neighbours (Å) after each atom.
Fractional coordinates of all 5 atoms:
Re  0.0000  0.0000  0.0000  8 Se 2.98, 2 Re 3.22
Si  0.5000  0.5000  0.5000  2 N 1.61
Se  0.0000  0.5000  0.5000  2 Si 2.51
Se  0.5000  0.0000  0.5000  2 Si 2.51
N  0.5000  0.5000  0.0000  2 Si 1.61

## Properties
Total magnetization, μB/cell: 2.0
Theoretical density, g/cm³: 7.94

***

Relative energies, in kJ/mol of atoms, with the most stable structure set to zero: P) 0.0; Q) 30.8.